[1]
# CeErMnIn PBE relaxed
data_CeErMnIn
_chemical_formula_sum 'Ce4 Er4 Mn4 In4'
_cell_length_a 7.369
_cell_length_b 7.369
_cell_length_c 7.369
_cell_angle_alpha 90.00
_cell_angle_beta 90.00
_cell_angle_gamma 90.00
_symmetry_space_group_name_H-M 'F -4 3 m'
_symmetry_Int_Tables_number 216
_symmetry_space_group_name_Hall 'F -4 2 3'
loop_
_atom_site_label
_atom_site_type_symbol
_atom_site_fract_x
_atom_site_fract_y
_atom_site_fract_z
_atom_site_occupancy
Ce1 Ce 0.000 0.000 0.000 1
Er1 Er 0.000 0.000 0.500 1
Mn1 Mn 0.250 0.250 0.750 1
In1 In 0.250 0.250 0.250 1
# * total magnetic moment: 0.60 μB per atom
# * E: -5.635 eV/atom
# * formation energy: -0.0336 eV per atom


[2]
# CeEr2InN PBE relaxed
data_CeEr2InN
_chemical_formula_sum 'Ce1 Er2 In1 N1'
_cell_length_a 4.817
_cell_length_b 4.817
_cell_length_c 4.856
_cell_angle_alpha 90.00
_cell_angle_beta 90.00
_cell_angle_gamma 90.00
_symmetry_space_group_name_H-M 'P 4/m m m'
_symmetry_Int_Tables_number 123
_symmetry_space_group_name_Hall '-P 4 2'
loop_
_atom_site_label
_atom_site_type_symbol
_atom_site_fract_x
_atom_site_fract_y
_atom_site_fract_z
_atom_site_occupancy
Ce1 Ce 0.000 0.000 0.000 1
Er1 Er 0.000 0.500 0.500 1
In1 In 0.500 0.500 0.000 1
N1 N 0.000 0.000 0.500 1
# * total magnetic moment: 0.15 μB per atom
# * formation energy (no corrections): -4.50 eV per formula unit
# * E: -6.125 eV/atom


[3]
# Ce2ErInN PBE relaxed
data_Ce2ErInN
_chemical_formula_sum 'Ce2 Er1 In1 N1'
_cell_length_a 4.904
_cell_length_b 4.904
_cell_length_c 4.841
_cell_angle_alpha 90.00
_cell_angle_beta 90.00
_cell_angle_gamma 90.00
_symmetry_space_group_name_H-M 'P 4/m m m'
_symmetry_Int_Tables_number 123
_symmetry_space_group_name_Hall '-P 4 2'
loop_
_atom_site_label
_atom_site_type_symbol
_atom_site_fract_x
_atom_site_fract_y
_atom_site_fract_z
_atom_site_occupancy
Ce1 Ce 0.000 0.500 0.000 1
Er1 Er 0.000 0.000 0.500 1
In1 In 0.500 0.500 0.500 1
N1 N 0.000 0.000 0.000 1
# * total magnetic moment: 0.31 μB per atom
# * formation energy (no corrections): -4.23 eV per formula unit
# * E: -6.344 eV/atom


[4]
# CeNdErIn PBE relaxed
data_CeNdErIn
_chemical_formula_sum 'Ce4 Nd4 Er4 In4'
_cell_length_a 7.698
_cell_length_b 7.698
_cell_length_c 7.698
_cell_angle_alpha 90.00
_cell_angle_beta 90.00
_cell_angle_gamma 90.00
_symmetry_space_group_name_H-M 'F -4 3 m'
_symmetry_Int_Tables_number 216
_symmetry_space_group_name_Hall 'F -4 2 3'
loop_
_atom_site_label
_atom_site_type_symbol
_atom_site_fract_x
_atom_site_fract_y
_atom_site_fract_z
_atom_site_occupancy
Ce1 Ce 0.000 0.000 0.000 1
Nd1 Nd 0.250 0.250 0.750 1
Er1 Er 0.250 0.250 0.250 1
In1 In 0.000 0.000 0.500 1
# * total magnetic moment: 0.00 μB per atom
# * E: -4.576 eV/atom
# * formation energy: -0.0748 eV per atom